# GGA-PBE LiLaTe2Mo, relaxed
# N(E_F): 7.51 states/eV/f.u.
# Calculated volume: 188.7 Å³/cell
# Total magnetic moment: 0.0002 μB/atom
# Formation energy without anion corrections: 1238 meV/atom
data_LiLaTe2Mo
_chemical_formula_sum 'Li1 La1 Te2 Mo1'
_cell_length_a 5.9442
_cell_length_b 5.9442
_cell_length_c 5.3412
_cell_angle_alpha 90.00
_cell_angle_beta 90.00
_cell_angle_gamma 90.00
_symmetry_space_group_name_H-M 'P 4/m m m'
_symmetry_Int_Tables_number 123
_symmetry_space_group_name_Hall '-P 4 2'
loop_
_atom_site_label
_atom_site_fract_x
_atom_site_fract_y
_atom_site_fract_z
Li1 0.0000 0.0000 0.0000
La1 0.0000 0.0000 0.5000
Te1 0.0000 0.5000 0.5000
Mo1 0.5000 0.5000 0.0000



# GGA-PBE LiLaN, relaxed
# N(E_F): 0.71 states/eV/f.u.
# Calculated volume: 204.9 Å³/cell
# Total magnetic moment: 0.3142 μB/atom
# Formation energy without anion corrections: -559 meV/atom
data_LiLaN
_chemical_formula_sum 'Li4 La4 N4'
_cell_length_a 5.8957
_cell_length_b 5.8957
_cell_length_c 5.8957
_cell_angle_alpha 90.00
_cell_angle_beta 90.00
_cell_angle_gamma 90.00
_symmetry_space_group_name_H-M 'F -4 3 m'
_symmetry_Int_Tables_number 216
_symmetry_space_group_name_Hall 'F -4 2 3'
loop_
_atom_site_label
_atom_site_fract_x
_atom_site_fract_y
_atom_site_fract_z
Li1 0.0000 0.0000 0.0000
La1 0.0000 0.0000 0.5000
N1 0.2500 0.2500 0.7500